DFT (PBE) results for a relaxed structure of RbAlTe2.

extended XYZ file:
```
16
Lattice="5.2920 0.0000 0.0000 0.0000 23.6376 0.0000 0.0000 0.0000 5.6668" Properties=species:S:1:pos:R:3 pbc="T T T"
Rb 0.0000 3.9991 1.4167
Rb 0.0000 19.6385 4.2501
Rb 2.6460 7.8197 4.2501
Rb 2.6460 15.8179 1.4167
Al 0.0000 10.3104 1.4167
Al 0.0000 13.3272 4.2501
Al 2.6460 1.5084 4.2501
Al 2.6460 22.1292 1.4167
Te 0.0000 7.7906 1.4167
Te 0.0000 10.7057 4.2501
Te 0.0000 12.9318 1.4167
Te 0.0000 15.8470 4.2501
Te 2.6460 1.1130 1.4167
Te 2.6460 4.0282 4.2501
Te 2.6460 19.6094 1.4167
Te 2.6460 22.5245 4.2501
```

Computed properties:
* magnetization: 0.000 μB/atom
* symmetry: Cmcm
* energy relative to the elements, uncorrected: -0.5230 eV per atom
* calculated density: 3445 kg/m3